[1]
9
Lattice="5.686 0.000 0.000 2.843 4.924 0.000 2.843 1.641 6.535" Properties=species:S:1:pos:R:3 comment="CeS2O6 | the Alexandria database | PBE | optimized geometry" magmom_total_mub_per_cell=2.0 space_group="R3m, No. 160" e_form_raw_mev_per_atom=-1577.6 pbc="T T T"
S 8.529 4.924 5.279
Ce 2.843 1.641 0.002
O 4.431 2.556 1.686
O 5.685 1.449 4.853
O 5.684 4.733 1.686
O 7.274 4.199 4.853
O 6.942 2.559 1.686
S 5.686 3.283 1.263
O 4.098 4.200 4.853

=====

[2]
3
Lattice="4.111 0.000 0.000 0.000 3.858 0.000 0.000 -1.929 3.341" Properties=species:S:1:pos:R:3 comment="CeSO | the Alexandria database | PBE | optimized geometry" magmom_total_mub_per_cell=0.1 space_group="P-6m2, No. 187" e_form_raw_mev_per_atom=-2545.2 pbc="T T T"
Ce 0.684 1.929 1.114
S 2.741 0.000 2.227
O 0.686 0.000 0.000

=====

[3]
22
Lattice="-4.169 5.407 -0.752 -6.376 -5.388 -3.394 0.364 1.514 8.876" Properties=species:S:1:pos:R:3 comment="Ce4S6O | the Alexandria database | PBE | optimized geometry" magmom_total_mub_per_cell=4.2 space_group="P6_3mc, No. 186" e_form_raw_mev_per_atom=-2164.1 pbc="T T T"
S -3.334 -1.002 3.042
S -6.004 0.642 -1.704
Ce -4.635 4.162 2.099
Ce -7.205 2.506 4.442
O -4.981 3.232 4.227
S -3.188 -0.393 6.613
Ce -6.407 -1.514 2.476
S -5.751 3.933 -0.435
S -6.230 -0.066 4.841
S -9.464 0.795 -2.412
Ce -3.836 0.142 0.133
Ce -4.479 4.810 5.893
Ce -3.544 1.368 4.486
S -2.517 3.072 6.818
Ce -7.876 1.771 0.021
Ce -6.562 -2.162 -1.318
S -9.253 1.677 2.757
S -5.858 1.252 1.867
S -2.728 2.190 1.649
S -8.423 -0.916 0.501
S -0.769 1.165 4.407
O -5.144 -1.772 0.513

=====

[4]
11
Lattice="5.583 0.000 0.000 -2.792 6.249 -0.063 0.000 -2.416 7.447" Properties=species:S:1:pos:R:3 comment="Ce5S5O | the Alexandria database | PBE | optimized geometry" magmom_total_mub_per_cell=4.9 space_group="C2/m, No. 12" e_form_raw_mev_per_atom=-2067.9 pbc="T T T"
S 2.792 1.395 2.455
S 0.000 2.438 4.929
S 0.000 3.784 1.226
O 0.000 0.000 0.000
S 0.000 -1.208 3.724
Ce 2.792 0.000 0.000
Ce 0.000 -0.120 6.241
Ce 2.792 3.953 1.144
Ce 2.792 2.623 5.030
Ce 0.000 1.210 2.355
S 2.792 0.049 6.158

=====

[5]
3
Lattice="-1.466 -1.797 -3.637 -2.263 -3.668 0.167 -4.225 0.031 -0.871" Properties=species:S:1:pos:R:3 comment="CeSO | the Alexandria database | PBE | optimized geometry" magmom_total_mub_per_cell=0.0 space_group="F-43m, No. 216" e_form_raw_mev_per_atom=-2170.8 pbc="T T T"
S 0.000 0.000 0.000
Ce -1.988 -1.359 -1.085
O -3.977 -2.717 -2.171

=====

[6]
5
Lattice="-2.663 2.736 -0.866 -1.841 -0.718 3.396 3.320 4.073 2.661" Properties=species:S:1:pos:R:3 comment="CeScSO2 | the Alexandria database | PBE | optimized geometry" magmom_total_mub_per_cell=1.0 space_group="Pmm2, No. 25" e_form_raw_mev_per_atom=-3000.0 pbc="T T T"
O -0.134 4.378 5.398
O 2.113 3.362 4.129
S 1.522 1.867 1.219
Ce 0.004 3.777 3.073
Sc -1.731 -0.582 3.485

=====

[7]
5
Lattice="-0.284 3.149 -2.233 -3.224 -1.425 -1.600 -1.608 1.896 6.233" Properties=species:S:1:pos:R:3 comment="CeSmSO2 | the Alexandria database | PBE | optimized geometry" magmom_total_mub_per_cell=1.0 space_group="I4mm, No. 107" e_form_raw_mev_per_atom=-2949.0 pbc="T T T"
Sm -0.995 0.817 1.278
Ce -4.114 2.798 1.114
O -3.287 0.662 1.351
O -1.817 2.949 1.034
S -1.771 0.876 -1.895

=====

[8]
10
Lattice="3.911 0.000 0.000 0.000 3.911 0.000 0.000 0.000 13.520" Properties=species:S:1:pos:R:3 comment="CeSnS2O | the Alexandria database | PBE | optimized geometry" magmom_total_mub_per_cell=0.9 space_group="P4/nmm, No. 129" e_form_raw_mev_per_atom=-1773.3 pbc="T T T"
S 0.000 1.956 1.517
O 0.000 0.000 6.760
S 1.956 0.000 12.004
Ce 0.000 1.956 5.475
O 1.956 1.956 6.760
Sn 0.000 1.956 11.912
Ce 1.956 0.000 8.046
S 1.956 0.000 4.231
S 0.000 1.956 9.290
Sn 1.956 0.000 1.608

=====

[9]
12
Lattice="5.277 0.000 0.000 -2.639 4.570 0.000 0.000 0.000 8.056" Properties=species:S:1:pos:R:3 comment="SrCeS2O8 | the Alexandria database | PBE | optimized geometry" magmom_total_mub_per_cell=1.8 space_group="P-3m1, No. 164" e_form_raw_mev_per_atom=-2012.4 pbc="T T T"
O -1.219 3.753 5.925
O 3.857 0.817 2.131
O 1.221 3.749 5.925
O 0.000 3.047 7.900
O 1.417 0.821 2.131
Ce 0.000 0.000 4.028
Sr 0.000 0.000 0.000
S 0.000 3.047 6.421
S 2.639 1.523 1.635
O 2.639 1.523 0.157
O -0.003 1.638 5.925
O 2.641 2.932 2.131

=====

[10]
10
Lattice="4.014 0.000 0.000 0.000 4.014 0.000 0.000 0.000 12.943" Properties=species:S:1:pos:R:3 comment="CeTeS2O | the Alexandria database | PBE | optimized geometry" magmom_total_mub_per_cell=1.4 space_group="P4/nmm, No. 129" e_form_raw_mev_per_atom=-1518.1 pbc="T T T"
O 0.000 0.000 6.471
S 0.000 2.007 8.978
S 2.007 0.000 3.965
S 0.000 2.007 1.424
Ce 2.007 0.000 7.720
Te 0.000 2.007 11.479
Ce 0.000 2.007 5.223
Te 2.007 0.000 1.464
S 2.007 0.000 11.519
O 2.007 2.007 6.471

=====

[11]
10
Lattice="-2.539 2.299 4.242 0.542 -4.627 2.832 5.992 2.978 -1.530" Properties=species:S:1:pos:R:3 comment="CeTiSO2 | the Alexandria database | PBE | optimized geometry" magmom_total_mub_per_cell=4.0 space_group="P4mm, No. 99" e_form_raw_mev_per_atom=-2655.2 pbc="T T T"
Ti 0.149 0.054 0.060
Ti -0.849 -1.110 3.597
O 4.114 1.093 3.622
S 1.247 -0.349 4.439
Ce 2.094 2.371 3.472
S 2.245 0.815 0.902
Ce 3.635 -1.092 2.767
O 5.383 -0.056 1.501
O 3.843 3.407 2.206
O 5.112 2.257 0.085

=====

[12]
10
Lattice="-0.972 1.090 -3.616 -0.042 -3.737 -1.115 -13.321 -0.842 3.327" Properties=species:S:1:pos:R:3 comment="CeYS2O | the Alexandria database | PBE | optimized geometry" magmom_total_mub_per_cell=1.5 space_group="P4/nmm, No. 129" e_form_raw_mev_per_atom=-2547.0 pbc="T T T"
Y -11.789 -2.612 2.382
Ce -5.441 -2.211 0.796
Y -2.038 0.447 -1.420
S -4.559 0.288 -0.791
S -12.561 -0.218 1.208
O -7.168 -1.744 -0.702
S -1.267 -1.947 -0.246
Ce -8.387 0.046 0.165
S -9.269 -2.453 1.752
O -6.660 -0.421 1.664

=====

[13]
12
Lattice="7.554 0.237 0.000 2.353 7.212 0.000 1.177 3.606 6.482" Properties=species:S:1:pos:R:3 comment="Ce6Sb5O | the Alexandria database | PBE | optimized geometry" magmom_total_mub_per_cell=5.6 space_group="C2/m, No. 12" e_form_raw_mev_per_atom=-1180.5 pbc="T T T"
Sb 6.130 7.330 2.382
Sb 2.353 7.212 4.370
O 0.000 0.000 0.000
Sb 1.177 3.606 2.112
Ce 4.684 9.294 4.568
Ce 2.426 1.695 0.000
Sb 4.954 3.725 4.100
Ce 3.508 5.688 1.914
Ce 7.576 5.366 4.568
Ce 7.481 5.754 0.000
Ce 6.400 1.761 1.914
Sb 4.954 3.725 0.000

=====

[14]
14
Lattice="3.868 0.000 0.000 0.000 14.973 -8.334 0.000 -4.591 7.834" Properties=species:S:1:pos:R:3 comment="Ce3SbO3 | the Alexandria database | PBE | optimized geometry" de_polymorph_ev_per_atom=0.0846 magmom_total_mub_per_cell=6.0 space_group="P2_1/m, No. 11" e_form_raw_mev_per_atom=-2542.1 pbc="T T T"
O 0.967 11.800 -5.141
O 0.967 8.641 -4.323
O 2.901 -1.418 4.641
Ce 0.967 5.286 1.580
O 2.901 1.741 3.822
Ce 2.901 5.096 -2.081
Sb 2.901 2.996 0.315
Ce 2.901 13.200 -5.992
O 2.901 10.813 -2.712
Ce 0.967 1.709 2.567
Ce 2.901 8.673 -3.067
Sb 0.967 7.386 -0.816
O 0.967 -0.431 2.212
Ce 0.967 -2.818 5.492

=====

[15]
8
Lattice="-2.857 -1.025 -3.182 3.087 1.515 -3.260 2.014 -9.097 1.123" Properties=species:S:1:pos:R:3 comment="Ce2SbO | the Alexandria database | PBE | optimized geometry" de_polymorph_ev_per_atom=0.0031 magmom_total_mub_per_cell=4.2 space_group="Cmmm, No. 65" e_form_raw_mev_per_atom=-1739.1 pbc="T T T"
O 1.664 -7.763 -2.032
Ce -1.429 -0.513 -1.591
Ce 0.845 -5.841 -1.915
Ce 1.399 -2.766 -3.404
Sb 1.066 -2.499 -0.152
Sb 4.035 -5.083 -1.985
Ce 1.543 0.758 -1.630
O 0.580 -0.845 -3.287

=====

[16]
4
Lattice="-1.996 0.502 -2.588 -2.631 -0.184 1.994 0.367 7.537 1.180" Properties=species:S:1:pos:R:3 comment="Ce2SbO | the Alexandria database | PBE | optimized geometry" de_polymorph_ev_per_atom=0.4432 magmom_total_mub_per_cell=2.9 space_group="P4/mmm, No. 123" e_form_raw_mev_per_atom=-1298.9 pbc="T T T"
Ce 0.293 6.029 0.944
O -2.314 0.159 -0.297
Sb -2.130 3.928 0.293
Ce 0.073 1.509 0.236

=====

[17]
4
Lattice="3.886 0.000 0.000 1.943 3.365 0.000 1.943 1.122 6.899" Properties=species:S:1:pos:R:3 comment="Ce2SbO | the Alexandria database | PBE | optimized geometry" de_polymorph_ev_per_atom=0.0000 magmom_total_mub_per_cell=1.0 space_group="R-3m, No. 166" e_form_raw_mev_per_atom=-1742.1 pbc="T T T"
Ce 1.943 1.122 2.163
O 3.886 2.243 3.450
Sb 0.000 0.000 0.000
Ce 5.829 3.365 4.736

=====

[18]
16
Lattice="6.336 0.000 0.000 0.000 6.336 0.000 0.000 0.000 12.300" Properties=species:S:1:pos:R:3 comment="Ce4Sb3O | the Alexandria database | PBE | optimized geometry" magmom_total_mub_per_cell=8.5 space_group="Pmn2_1, No. 31" e_form_raw_mev_per_atom=-1328.1 pbc="T T T"
Ce 4.129 1.628 0.000
Ce 0.962 4.709 6.150
Ce 3.567 4.787 3.171
Ce 0.386 5.310 0.000
Sb 3.564 1.625 9.221
Sb 0.395 1.533 6.150
O 6.267 1.122 0.000
Sb 3.564 1.625 3.079
Ce 0.399 1.549 2.979
Ce 3.567 4.787 9.129
Ce 0.399 1.549 9.321
Sb 0.396 4.711 3.071
O 3.099 5.214 6.150
Sb 3.563 4.803 0.000
Sb 0.396 4.711 9.229
Ce 3.554 1.026 6.150

=====

[19]
10
Lattice="-1.204 2.001 -3.442 -6.587 1.023 0.385 0.288 9.456 2.884" Properties=species:S:1:pos:R:3 comment="Ce2Sb2O | the Alexandria database | PBE | optimized geometry" magmom_total_mub_per_cell=2.1 space_group="C2/m, No. 12" e_form_raw_mev_per_atom=-1697.5 pbc="T T T"
Ce -5.964 10.005 0.364
Ce -1.256 5.879 1.345
Ce -1.538 2.475 -0.536
Sb -3.557 4.819 -0.981
Sb -5.308 1.767 0.371
Ce -6.246 6.601 -1.517
O -0.740 7.190 -0.587
Sb -2.194 10.713 -0.543
Sb -3.945 7.661 0.808
O -6.762 5.290 0.414

=====

[20]
10
Lattice="-4.080 -0.101 -1.276 0.661 -7.768 -1.496 -0.105 -4.207 7.835" Properties=species:S:1:pos:R:3 comment="Ce4Sb5O | the Alexandria database | PBE | optimized geometry" magmom_total_mub_per_cell=3.2 space_group="C2/m, No. 12" e_form_raw_mev_per_atom=-935.1 pbc="T T T"
Ce -3.872 -5.724 5.669
Sb -1.710 -3.934 -1.386
Ce -2.565 -1.676 1.168
Sb -0.369 -4.037 1.500
Ce 0.347 -6.352 -0.607
Sb -3.156 -8.039 3.563
O -2.040 -0.051 -0.638
Ce -0.960 -10.400 3.894
Sb -3.115 -4.197 3.129
Sb -0.409 -7.879 1.934

=====

[21]
38
Lattice="-10.184 0.333 -0.815 0.495 -5.656 -8.501 -0.652 -7.626 5.036" Properties=species:S:1:pos:R:3 comment="Ce9Sb5O5 | the Alexandria database | PBE | optimized geometry" magmom_total_mub_per_cell=20.2 space_group="P4/n, No. 85" e_form_raw_mev_per_atom=-2049.6 pbc="T T T"
Sb -4.404 -6.935 0.640
Ce -2.753 -0.371 -0.899
Sb -6.202 -9.104 -2.878
Ce 0.032 -5.346 -2.587
O -3.792 -2.170 -2.210
O -1.705 -8.117 2.588
Sb -5.292 -2.172 1.137
Ce -4.117 -4.179 -1.116
Ce -1.843 -7.632 -6.051
Sb -2.978 -5.548 -3.832
Ce -6.022 -6.401 -4.728
Sb -0.205 -8.116 -0.758
Sb -8.582 -5.645 2.052
Sb -2.023 -10.395 -4.291
Ce -8.248 -10.641 -0.533
Sb -7.099 -4.310 -2.489
O -6.020 -4.587 -6.158
Sb -8.984 -6.506 -6.059
O -9.166 -11.023 -2.779
O -5.694 -6.874 4.242
Ce -9.164 -9.209 -4.209
O -3.128 -10.323 -0.937
Ce -7.386 -7.007 -0.644
O -1.874 -5.620 -7.186
Ce -2.744 -9.916 1.277
Ce -9.883 -8.861 1.950
Ce -1.109 -11.696 -1.206
O -7.743 -8.818 0.746
Ce -1.380 -6.109 1.494
Sb -1.093 -3.352 -0.262
O -7.938 -1.137 -1.182
Ce -3.158 -8.311 -2.071
Ce -8.295 -2.948 0.207
Ce -5.798 -1.093 -2.387
Ce -6.938 -4.969 -8.404
O 0.197 -3.414 -3.864
Ce -3.893 -4.247 -6.917
Ce -5.529 -4.941 2.966

=====

no.,V (Å³/f.u.)
1,182.9
2,53.0
3,241.5
4,259.0
5,56.8
6,90.6
7,91.8
8,103.4
9,194.3
10,104.3
11,84.4
12,104.6
13,349.5
14,152.8
15,94.6
16,83.5
17,90.2
18,246.9
19,127.2
20,279.1
21,478.7